Record 1
# AcDy2TmHg4 GGA-PBE optimized geometry
data_AcDy2TmHg4
_chemical_formula_sum 'Ac3 Dy6 Tm3 Hg12'
_cell_length_a 5.2795
_cell_length_b 5.2795
_cell_length_c 27.5292
_cell_angle_alpha 90.00
_cell_angle_beta 90.00
_cell_angle_gamma 120.00
_symmetry_space_group_name_H-M 'R -3 m'
_symmetry_Int_Tables_number 166
_symmetry_space_group_name_Hall '-R 3 2"'
loop_
_atom_site_label
_atom_site_type_symbol
_atom_site_fract_x
_atom_site_fract_y
_atom_site_fract_z
_atom_site_occupancy
Ac1 Ac 0.0000 0.0000 0.0000 1
Dy1 Dy 0.0000 0.0000 0.2441 1
Tm1 Tm 0.0000 0.0000 0.5000 1
Hg1 Hg 0.0000 0.0000 0.1287 1
Hg2 Hg 0.0000 0.0000 0.3868 1
# Formation energy   -0.444 eV/atom

=====

Record 2
# Cs16Rb6Na7 GGA-PBE optimized geometry
data_Cs16Rb6Na7
_chemical_formula_sum 'Cs64 Rb24 Na28'
_cell_length_a 21.731
_cell_length_b 21.731
_cell_length_c 21.731
_cell_angle_alpha 90.00
_cell_angle_beta 90.00
_cell_angle_gamma 90.00
_symmetry_space_group_name_H-M 'F m -3 m'
_symmetry_Int_Tables_number 225
_symmetry_space_group_name_Hall '-F 4 2 3'
loop_
_atom_site_label
_atom_site_type_symbol
_atom_site_fract_x
_atom_site_fract_y
_atom_site_fract_z
_atom_site_occupancy
Cs1 Cs 0.117 0.117 0.117 1
Cs2 Cs 0.158 0.158 0.342 1
Rb1 Rb 0.000 0.000 0.300 1
Na1 Na 0.000 0.000 0.000 1
Na2 Na 0.000 0.250 0.250 1
# Formation energy   0.029 eV/atom

=====

Record 3
# ErPa2Tc3 GGA-PBE optimized geometry
data_ErPa2Tc3
_chemical_formula_sum 'Er1 Pa2 Tc3'
_cell_length_a 3.452
_cell_length_b 3.452
_cell_length_c 10.265
_cell_angle_alpha 90.00
_cell_angle_beta 90.00
_cell_angle_gamma 90.00
_symmetry_space_group_name_H-M 'P 4/m m m'
_symmetry_Int_Tables_number 123
_symmetry_space_group_name_Hall '-P 4 2'
loop_
_atom_site_label
_atom_site_type_symbol
_atom_site_fract_x
_atom_site_fract_y
_atom_site_fract_z
_atom_site_occupancy
Er1 Er 0.000 0.000 0.000 1
Pa1 Pa 0.000 0.000 0.329 1
Tc1 Tc 0.500 0.500 0.191 1
Tc2 Tc 0.500 0.500 0.500 1
# ΔE to the lowest computed polymorph   0.007 eV per atom
# Formation energy   -0.228 eV/atom

=====

Record 4
# Mn2AsBr GGA-PBE optimized geometry
data_Mn2AsBr
_chemical_formula_sum 'Mn4 As2 Br2'
_cell_length_a 6.639
_cell_length_b 3.798
_cell_length_c 6.960
_cell_angle_alpha 90.00
_cell_angle_beta 109.25
_cell_angle_gamma 90.00
_symmetry_space_group_name_H-M 'C 1 2/m 1'
_symmetry_Int_Tables_number 12
loop_
_symmetry_equiv_pos_as_xyz
'x,y,z'
'-x,-y,-z'
'-x,y,-z'
'x,-y,z'
'x+1/2,y+1/2,z'
'-x+1/2,-y+1/2,-z'
'-x+1/2,y+1/2,-z'
'x+1/2,-y+1/2,z'
loop_
_atom_site_label
_atom_site_type_symbol
_atom_site_fract_x
_atom_site_fract_y
_atom_site_fract_z
_atom_site_occupancy
Mn1 Mn 0.237 0.000 0.198 1
As1 As 0.000 0.500 0.000 1
Br1 Br 0.000 0.000 0.500 1
# Energy relative to the elements, uncorrected   -68 meV per atom
# ΔE to the lowest computed polymorph   0.006 eV per atom

=====

Record 5
# Fe2TePd GGA-PBE optimized geometry
data_Fe2TePd
_chemical_formula_sum 'Fe8 Te4 Pd4'
_cell_length_a 3.834
_cell_length_b 3.834
_cell_length_c 18.653
_cell_angle_alpha 90.00
_cell_angle_beta 90.00
_cell_angle_gamma 90.00
_symmetry_space_group_name_H-M 'I -4 2 d'
_symmetry_Int_Tables_number 122
_symmetry_space_group_name_Hall 'I -4 2bw'
loop_
_atom_site_label
_atom_site_type_symbol
_atom_site_fract_x
_atom_site_fract_y
_atom_site_fract_z
_atom_site_occupancy
Fe1 Fe 0.238 0.250 0.125 1
Te1 Te 0.000 0.000 0.000 1
Pd1 Pd 0.000 0.000 0.500 1
# Energy relative to the elements, uncorrected   360 meV per atom

=====

Record 6
# CrAsIrRu2 GGA-PBE optimized geometry
data_CrAsIrRu2
_chemical_formula_sum 'Cr1 As1 Ir1 Ru2'
_cell_length_a 4.361
_cell_length_b 4.361
_cell_length_c 4.425
_cell_angle_alpha 90.00
_cell_angle_beta 90.00
_cell_angle_gamma 90.00
_symmetry_space_group_name_H-M 'P 4/m m m'
_symmetry_Int_Tables_number 123
_symmetry_space_group_name_Hall '-P 4 2'
loop_
_atom_site_label
_atom_site_type_symbol
_atom_site_fract_x
_atom_site_fract_y
_atom_site_fract_z
_atom_site_occupancy
Cr1 Cr 0.000 0.000 0.000 1
As1 As 0.000 0.000 0.500 1
Ir1 Ir 0.500 0.500 0.500 1
Ru1 Ru 0.000 0.500 0.000 1
# ΔE to the lowest computed polymorph   0.000 eV per atom
# Formation energy   1.261 eV/atom

=====

| no. | magnetic moment (Bohr magnetons per cell) | electronic total energy (eV per atom) |
| --- | --- | --- |
| 1 | 0.00 | -2.818 |
| 2 | 0.00 | -0.960 |
| 3 | 0.00 | -9.337 |
| 4 | 17.42 | -6.234 |
| 5 | 22.51 | -5.955 |
| 6 | 0.00 | -7.076 |